[1]
# GGA-PBE NbGaAu3, relaxed
data_NbGaAu3
_symmetry_space_group_name_H-M 'P m -3 m'
_symmetry_Int_Tables_number 221
_symmetry_space_group_name_Hall '-P 4 2 3'
_cell_length_a 5.1892
_cell_length_b 5.1892
_cell_length_c 5.1892
_cell_angle_alpha 90.00
_cell_angle_beta 90.00
_cell_angle_gamma 90.00
loop_
_atom_site_label
_atom_site_type_symbol
_atom_site_fract_x
_atom_site_fract_y
_atom_site_fract_z
Nb1 Nb 0.0000 0.0000 0.0000
Ga1 Ga 0.5000 0.5000 0.5000
Au1 Au 0.0000 0.0000 0.5000
# - Volume: 27.95 Å³/atom
# - Formation energy: 0.81 eV per atom
# - Energy above the most stable polymorph in this dataset: 127 meV/atom
# - Theoretical density: 8.95 g cm⁻³



[2]
# GGA-PBE NaNb2Cl, relaxed
data_NaNb2Cl
_symmetry_space_group_name_H-M 'I -4 2 d'
_symmetry_Int_Tables_number 122
_symmetry_space_group_name_Hall 'I -4 2bw'
_cell_length_a 3.7371
_cell_length_b 3.7371
_cell_length_c 26.1752
_cell_angle_alpha 90.00
_cell_angle_beta 90.00
_cell_angle_gamma 90.00
loop_
_atom_site_label
_atom_site_type_symbol
_atom_site_fract_x
_atom_site_fract_y
_atom_site_fract_z
Na1 Na 0.0000 0.0000 0.0000
Nb1 Nb 0.2483 0.7500 0.1250
Cl1 Cl 0.0000 0.0000 0.5000
# - Volume: 22.85 Å³/atom
# - Energy above the most stable polymorph in this dataset: 0 meV/atom
# - Theoretical density: 4.44 g cm⁻³
# - Formation energy from raw total energies: 0.3464 eV per atom



[3]
# GGA-PBE MgGa14Hg, relaxed
data_MgGa14Hg
_symmetry_space_group_name_H-M 'A m m 2'
_symmetry_Int_Tables_number 38
_symmetry_space_group_name_Hall 'A 2 -2'
_cell_length_a 10.0261
_cell_length_b 5.9739
_cell_length_c 10.2645
_cell_angle_alpha 90.00
_cell_angle_beta 90.00
_cell_angle_gamma 90.00
loop_
_atom_site_label
_atom_site_type_symbol
_atom_site_fract_x
_atom_site_fract_y
_atom_site_fract_z
Mg1 Mg 0.0000 0.0000 0.0000
Ga1 Ga 0.0000 0.2387 0.2552
Ga2 Ga 0.2443 0.0000 0.8203
Ga3 Ga 0.2553 0.0000 0.3248
Ga4 Ga 0.2597 0.2467 0.0753
Ga5 Ga 0.5000 0.0000 0.1613
Ga6 Ga 0.5000 0.0000 0.6637
Ga7 Ga 0.5000 0.2491 0.9084
Hg1 Hg 0.0000 0.0000 0.5135
# - Volume: 19.21 Å³/atom
# - Formation energy: 0.00 eV per atom
# - Theoretical density: 6.49 g cm⁻³